Density functional theory data (PBE) for Er12CdCo6 after structural relaxation.

```
Er12CdCo6
1.0
-4.7784 4.7784 4.7784
4.7784 -4.7784 4.7784
4.7784 4.7784 -4.7784
Er Cd Co
12 1 6
direct
0.1086 0.8061 0.3025
0.1939 0.3025 0.4964
0.1939 0.6975 0.8914
0.3025 0.1086 0.8061
0.3025 0.4964 0.1939
0.4964 0.1939 0.3025
0.5036 0.8061 0.6975
0.6975 0.5036 0.8061
0.6975 0.8914 0.1939
0.8061 0.3025 0.1086
0.8061 0.6975 0.5036
0.8914 0.1939 0.6975
0.0000 0.0000 0.0000
0.1140 0.6140 0.5000
0.3860 0.5000 0.8860
0.5000 0.1140 0.6140
0.5000 0.8860 0.3860
0.6140 0.5000 0.1140
0.8860 0.3860 0.5000
```

The volume is 22.970 A^3/atom. The raw total energy comes out at -5.414 eV per atom. Its spin magnetization is 0.00 μB per atom. As for the space group: Im-3. The density of states at the Fermi level comes out at 15.7 states/eV/cell.